P | Computed, not measured: a relaxed LiAlCuMo crystal at the PBE-GGA level of DFT.

Cell and atoms, written as extended XYZ:
```
4
Lattice="0.0000 3.0088 3.0088 3.0088 0.0000 3.0088 3.0088 3.0088 0.0000" Properties=species:S:1:pos:R:3 pbc="T T T"
Al 0.0000 0.0000 0.0000
Mo 1.5044 1.5044 1.5044
Li 3.0088 3.0088 3.0088
Cu 4.5133 4.5133 4.5133
```

Q | Computed, not measured: a relaxed LiAlCuMo crystal at the PBE-GGA level of DFT.

Cell and atoms, written as extended XYZ:
```
4
Lattice="0.0000 3.0129 3.0129 3.0129 0.0000 3.0129 3.0129 3.0129 0.0000" Properties=species:S:1:pos:R:3 pbc="T T T"
Mo 3.0129 3.0129 3.0129
Cu 4.5193 4.5193 4.5193
Al 0.0000 0.0000 0.0000
Li 1.5064 1.5064 1.5064
```

P is preferred energetically. Next in line: 0.017 eV/atom higher.

P | Computed, not measured: a relaxed LiAlCuOs crystal at the PBE-GGA level of DFT.

Cell and atoms, written as extended XYZ:
```
4
Lattice="1.5293 -3.7141 -1.0461 -0.9375 -3.3450 2.2715 -2.5139 -2.9194 -1.5445" Properties=species:S:1:pos:R:3 pbc="T T T"
Os -0.4805 -2.4946 -0.0798
Li -0.9610 -4.9893 -0.1595
Al 0.0000 0.0000 0.0000
Cu -1.4416 -7.4839 -0.2393
```

Q | Computed, not measured: a relaxed LiAlCuOs crystal at the PBE-GGA level of DFT.

Cell and atoms, written as extended XYZ:
```
4
Lattice="3.2959 -0.4641 2.4954 -0.4488 0.3335 4.1222 0.3268 -3.3766 2.4078" Properties=species:S:1:pos:R:3 pbc="T T T"
Cu 2.3804 -2.6304 6.7691
Os 1.5869 -1.7536 4.5127
Al 0.0000 0.0000 0.0000
Li 0.7935 -0.8768 2.2564
```

P is preferred energetically. Next in line: 0.205 eV/atom higher.

P | Computed, not measured: a relaxed LiAlCuTc crystal at the PBE-GGA level of DFT.

Cell and atoms, written as extended XYZ:
```
4
Lattice="0.0000 2.9583 2.9583 2.9583 0.0000 2.9583 2.9583 2.9583 0.0000" Properties=species:S:1:pos:R:3 pbc="T T T"
Cu 4.4374 4.4374 4.4374
Tc 1.4791 1.4791 1.4791
Li 2.9583 2.9583 2.9583
Al 0.0000 0.0000 0.0000
```

Q | Computed, not measured: a relaxed LiAlCuTc crystal at the PBE-GGA level of DFT.

Cell and atoms, written as extended XYZ:
```
4
Lattice="0.0000 2.9695 2.9695 2.9695 0.0000 2.9695 2.9695 2.9695 0.0000" Properties=species:S:1:pos:R:3 pbc="T T T"
Al 0.0000 0.0000 0.0000
Li 4.4542 4.4542 4.4542
Cu 1.4847 1.4847 1.4847
Tc 2.9695 2.9695 2.9695
```

P is preferred energetically. Next in line: 0.120 eV/atom higher.

P | Computed, not measured: a relaxed LuMgAlCu crystal at the PBE-GGA level of DFT.

Cell and atoms, written as extended XYZ:
```
4
Lattice="0.0000 3.3312 3.3312 3.3312 0.0000 3.3312 3.3312 3.3312 0.0000" Properties=species:S:1:pos:R:3 pbc="T T T"
Cu 4.9968 4.9968 4.9968
Al 0.0000 0.0000 0.0000
Mg 3.3312 3.3312 3.3312
Lu 1.6656 1.6656 1.6656
```

Q | Computed, not measured: a relaxed LuMgAlCu crystal at the PBE-GGA level of DFT.

Cell and atoms, written as extended XYZ:
```
4
Lattice="3.7537 1.7065 2.2216 -0.4729 1.9708 4.2226 1.6628 -2.1763 3.7996" Properties=species:S:1:pos:R:3 pbc="T T T"
Mg 1.2359 0.3752 2.5609
Cu 3.7077 1.1257 7.6828
Al 0.0000 0.0000 0.0000
Lu 2.4718 0.7505 5.1219
```

Q is preferred energetically. Next in line: 0.097 eV/atom higher.

P | Computed, not measured: a relaxed LuAlCuTc crystal at the PBE-GGA level of DFT.

Cell and atoms, written as extended XYZ:
```
4
Lattice="0.0000 3.1893 3.1893 3.1893 0.0000 3.1893 3.1893 3.1893 0.0000" Properties=species:S:1:pos:R:3 pbc="T T T"
Cu 4.7839 4.7839 4.7839
Tc 1.5946 1.5946 1.5946
Al 0.0000 0.0000 0.0000
Lu 3.1893 3.1893 3.1893
```

Q | Computed, not measured: a relaxed LuAlCuTc crystal at the PBE-GGA level of DFT.

Cell and atoms, written as extended XYZ:
```
4
Lattice="2.4956 -1.8989 3.3395 1.8076 2.6299 3.2867 -1.6576 -0.2021 4.2659" Properties=species:S:1:pos:R:3 pbc="T T T"
Al 0.0000 0.0000 0.0000
Tc 1.3228 0.2645 5.4461
Cu 1.9842 0.3967 8.1691
Lu 0.6614 0.1322 2.7230
```

P is preferred energetically. Next in line: 0.389 eV/atom higher.

P | Computed, not measured: a relaxed LuAlCuW crystal at the PBE-GGA level of DFT.

Cell and atoms, written as extended XYZ:
```
4
Lattice="-0.0697 -1.0545 4.4727 -2.5932 2.4491 2.8981 -3.7617 -1.8730 1.8610" Properties=species:S:1:pos:R:3 pbc="T T T"
Al 0.0000 0.0000 0.0000
Cu -4.8184 -0.3588 6.9238
Lu -3.2123 -0.2392 4.6159
W -1.6061 -0.1196 2.3079
```

Q | Computed, not measured: a relaxed LuAlCuW crystal at the PBE-GGA level of DFT.

Cell and atoms, written as extended XYZ:
```
4
Lattice="0.0000 3.2934 3.2934 3.2934 0.0000 3.2934 3.2934 3.2934 0.0000" Properties=species:S:1:pos:R:3 pbc="T T T"
Lu 1.6467 1.6467 1.6467
W 3.2934 3.2934 3.2934
Cu 4.9401 4.9401 4.9401
Al 0.0000 0.0000 0.0000
```

P is preferred energetically. Next in line: 0.291 eV/atom higher.

P | Computed, not measured: a relaxed MgScAlCu crystal at the PBE-GGA level of DFT.

Cell and atoms, written as extended XYZ:
```
4
Lattice="0.0000 3.2614 3.2614 3.2614 0.0000 3.2614 3.2614 3.2614 0.0000" Properties=species:S:1:pos:R:3 pbc="T T T"
Cu 4.8921 4.8921 4.8921
Mg 3.2614 3.2614 3.2614
Sc 0.0000 0.0000 0.0000
Al 1.6307 1.6307 1.6307
```

Q | Computed, not measured: a relaxed MgScAlCu crystal at the PBE-GGA level of DFT.

Cell and atoms, written as extended XYZ:
```
4
Lattice="0.0000 3.2269 3.2269 3.2269 0.0000 3.2269 3.2269 3.2269 0.0000" Properties=species:S:1:pos:R:3 pbc="T T T"
Al 0.0000 0.0000 0.0000
Sc 3.2269 3.2269 3.2269
Cu 4.8404 4.8404 4.8404
Mg 1.6135 1.6135 1.6135
```

R | Computed, not measured: a relaxed MgScAlCu crystal at the PBE-GGA level of DFT.

Cell and atoms, written as extended XYZ:
```
4
Lattice="0.0000 3.2500 3.2500 3.2500 0.0000 3.2500 3.2500 3.2500 0.0000" Properties=species:S:1:pos:R:3 pbc="T T T"
Al 0.0000 0.0000 0.0000
Mg 3.2500 3.2500 3.2500
Cu 4.8750 4.8750 4.8750
Sc 1.6250 1.6250 1.6250
```

P is preferred energetically. Next in line: 0.060 eV/atom higher.

P | Computed, not measured: a relaxed MgScAl2Cu4 crystal at the PBE-GGA level of DFT.

Cell and atoms, written as extended XYZ:
```
8
Lattice="-2.2514 0.3189 -3.7008 -0.6344 4.2309 0.7505 5.1904 1.3183 -3.0440" Properties=species:S:1:pos:R:3 pbc="T T T"
Cu 0.1789 0.4908 -2.6155
Cu 0.9874 2.4468 -0.3899
Cu 3.5686 3.1024 -1.9037
Cu 2.7601 1.1464 -4.1293
Al 1.1523 2.9340 -2.9972
Al 0.0000 0.0000 0.0000
Mg 2.5952 0.6591 -1.5220
Sc -1.4429 2.2749 -1.4751
```

Q | Computed, not measured: a relaxed MgScAl2Cu4 crystal at the PBE-GGA level of DFT.

Cell and atoms, written as extended XYZ:
```
16
Lattice="-6.2073 -3.0598 3.0598 -6.2073 3.0598 -3.0598 6.2073 -3.0598 -3.0598" Properties=species:S:1:pos:R:3 pbc="T T T"
Mg -3.1036 0.0000 0.0000
Mg 0.0000 -3.0598 0.0000
Sc 0.0000 0.0000 -3.0598
Sc -9.3109 0.0000 0.0000
Cu -4.6554 -1.5048 -1.5299
Cu 1.5518 -4.5646 -1.5299
Cu -4.6554 1.5048 -1.5299
Cu -1.5518 -1.5299 -1.5048
Cu -1.5518 -4.5896 -1.5048
Cu -7.7591 -1.5299 -1.5550
Cu 1.5518 -1.5550 -1.5299
Cu -7.7591 1.5299 -1.5550
Al -3.1188 -3.0598 0.0000
Al -12.3994 0.0000 0.0000
Al -6.2224 0.0000 0.0000
Al -3.0885 0.0000 -3.0598
```

P is preferred energetically. Next in line: 0.012 eV/atom higher.